{"formula": "PaVC", "functional": "PBE", "state": "relaxed", "formation_enthalpy_0k_ev_per_atom": -0.155, "space_group": "P6_3mc (186)", "cell": [[3.1464, 0.0000, 0.0000], [-1.5732, 2.7249, 0.0000], [0.0000, 0.0000, 10.7643]], "species": ["Pa", "Pa", "C", "C", "V", "V"], "frac_coords": [[0.3333, 0.6667, 0.2648], [0.6667, 0.3333, 0.7648], [0.6667, 0.3333, 0.1035], [0.3333, 0.6667, 0.6035], [0.0000, 0.0000, 0.5223], [0.0000, 0.0000, 0.0223]]}

***

{"formula": "PmUN2", "functional": "PBE", "state": "relaxed", "formation_energy_uncorrected_ev_per_atom": -1.198, "space_group": "R3m (160)", "cell": [[3.4658, 0.0000, 0.0000], [1.7329, 3.0014, 0.0000], [1.7329, 1.0005, 6.0392]], "species": ["N", "N", "Pm", "U"], "frac_coords": [[0.0739, 0.0739, 0.7782], [0.2649, 0.2649, 0.2054], [0.4922, 0.4922, 0.5235], [0.6690, 0.6690, 0.9929]]}

***

{"formula": "LiZn2Tc2", "functional": "PBE", "state": "relaxed", "formation_enthalpy_0k_ev_per_atom": 0.206, "space_group": "P4/mbm (127)", "cell": [[7.7277, 0.0000, 0.0000], [0.0000, 7.7277, 0.0000], [0.0000, 0.0000, 2.7049]], "species": ["Tc", "Tc", "Tc", "Tc", "Zn", "Zn", "Zn", "Zn", "Li", "Li"], "frac_coords": [[0.3924, 0.1076, 0.5000], [0.8924, 0.3924, 0.5000], [0.6076, 0.8924, 0.5000], [0.1076, 0.6076, 0.5000], [0.6856, 0.1856, 0.0000], [0.3144, 0.8144, 0.0000], [0.1856, 0.3144, 0.0000], [0.8144, 0.6856, 0.0000], [0.5000, 0.5000, 0.0000], [0.0000, 0.0000, 0.0000]]}

***

{"formula": "PmCdPd4", "functional": "PBE", "state": "relaxed", "formation_enthalpy_0k_ev_per_atom": -0.640, "space_group": "F-43m (216)", "cell": [[-4.4879, 2.8529, 0.9789], [-4.8533, -2.1765, -0.9730], [-3.2263, -1.3643, 4.1193]], "species": ["Pd", "Pd", "Pd", "Pd", "Pm", "Cd"], "frac_coords": [[0.1235, 0.6255, 0.6255], [0.6255, 0.6255, 0.6255], [0.6255, 0.6255, 0.1235], [0.6255, 0.1235, 0.6255], [0.2500, 0.2500, 0.2500], [0.0000, 0.0000, 0.0000]]}

***

{"formula": "Ca2AgBr2O2", "functional": "PBE", "state": "relaxed", "formation_energy_uncorrected_ev_per_atom": -1.642, "space_group": "I4/mmm (139)", "cell": [[-1.1099, 2.9788, -2.6812], [-3.4323, -2.1429, -0.9599], [-1.9045, 3.5307, 7.9359]], "species": ["O", "O", "Ca", "Ca", "Ag", "Br", "Br"], "frac_coords": [[0.5000, 0.0000, 0.0000], [0.0000, 0.5000, 0.0000], [0.5942, 0.5942, 0.1885], [0.4058, 0.4058, 0.8115], [0.0000, 0.0000, 0.0000], [0.8217, 0.8217, 0.6433], [0.1783, 0.1783, 0.3567]]}

***

{"formula": "CeMn4As12", "functional": "PBE", "state": "relaxed", "formation_enthalpy_0k_ev_per_atom": -0.325, "space_group": "Im-3 (204)", "cell": [[6.9066, 0.0000, -2.4418], [-3.4533, 5.9812, -2.4418], [0.0000, 0.0000, 7.3255]], "species": ["As", "As", "As", "As", "As", "As", "As", "As", "As", "As", "As", "As", "Mn", "Mn", "Mn", "Mn", "Ce"], "frac_coords": [[0.4947, 0.1534, 0.3413], [0.3413, 0.1879, 0.8466], [0.6587, 0.5053, 0.8466], [0.3413, 0.4947, 0.1534], [0.1534, 0.6587, 0.8121], [0.1534, 0.3413, 0.4947], [0.8121, 0.1534, 0.6587], [0.6587, 0.8121, 0.1534], [0.5053, 0.8466, 0.6587], [0.1879, 0.8466, 0.3413], [0.8466, 0.3413, 0.1879], [0.8466, 0.6587, 0.5053], [0.5000, 0.0000, 0.0000], [0.0000, 0.0000, 0.5000], [0.0000, 0.5000, 0.0000], [0.5000, 0.5000, 0.5000], [0.0000, 0.0000, 0.0000]]}

***

{"formula": "CaCuSe2", "functional": "PBE", "state": "relaxed", "formation_energy_uncorrected_ev_per_atom": -0.253, "space_group": "F-43m (216)", "cell": [[4.9176, 0.0000, 0.0000], [2.4588, 4.2588, 0.0000], [2.4588, 1.4196, 4.0152]], "species": ["Cu", "Se", "Se", "Ca"], "frac_coords": [[0.7500, 0.7500, 0.7500], [0.0000, 0.0000, 0.0000], [0.2500, 0.2500, 0.2500], [0.5000, 0.5000, 0.5000]]}

***

{"formula": "Pm2ZnTc", "functional": "PBE", "state": "relaxed", "formation_enthalpy_0k_ev_per_atom": 0.628, "space_group": "R-3m (166)", "cell": [[3.2455, 0.0000, 0.0000], [1.6228, 2.8107, 0.0000], [1.6228, 0.9369, 10.5107]], "species": ["Pm", "Pm", "Zn", "Tc"], "frac_coords": [[0.9146, 0.9146, 0.2562], [0.0854, 0.0854, 0.7438], [0.5000, 0.5000, 0.5000], [0.0000, 0.0000, 0.0000]]}

***

{"formula": "PuHF4", "functional": "PBE", "state": "relaxed", "energy_ha_per_atom": -0.2590, "space_group": "I4_1md (109)", "cell": [[6.1967, 0.1846, 0.0000], [-2.3334, 5.7436, 0.0000], [-1.9317, -2.9641, 5.0908]], "species": ["F", "F", "F", "F", "F", "F", "F", "F", "Pu", "Pu", "H", "H"], "frac_coords": [[0.6824, 0.9937, 0.3113], [0.3327, 0.4904, 0.1577], [0.3327, 0.1750, 0.8423], [0.2404, 0.5827, 0.6577], [0.7437, 0.9324, 0.8113], [0.1212, 0.9324, 0.1887], [0.9250, 0.5827, 0.3423], [0.6824, 0.3712, 0.6887], [0.4207, 0.9207, 0.5000], [0.6707, 0.6707, 0.0000], [0.2990, 0.2990, 0.0000], [0.0490, 0.5490, 0.5000]]}

***

{"formula": "Te2IrBr", "functional": "PBE", "state": "relaxed", "formation_energy_uncorrected_ev_per_atom": -0.205, "space_group": "Pnma (62)", "cell": [[9.3684, 0.0000, 0.0000], [0.0000, 3.8271, 0.0000], [0.0000, 0.0000, 14.1599]], "species": ["Br", "Br", "Br", "Br", "Te", "Te", "Te", "Te", "Te", "Te", "Te", "Te", "Ir", "Ir", "Ir", "Ir"], "frac_coords": [[0.9064, 0.7500, 0.3739], [0.4064, 0.7500, 0.1261], [0.0936, 0.2500, 0.6261], [0.5936, 0.2500, 0.8739], [0.8189, 0.7500, 0.0677], [0.1811, 0.2500, 0.9323], [0.1310, 0.7500, 0.1798], [0.3189, 0.7500, 0.4323], [0.6310, 0.7500, 0.3202], [0.8690, 0.2500, 0.8202], [0.6811, 0.2500, 0.5677], [0.3690, 0.2500, 0.6798], [0.5168, 0.2500, 0.4224], [0.0168, 0.2500, 0.0776], [0.4832, 0.7500, 0.5776], [0.9832, 0.7500, 0.9224]]}

***

{"formula": "BeAgSe2N", "functional": "PBE", "state": "relaxed", "formation_energy_uncorrected_ev_per_atom": 1.489, "space_group": "P4/mmm (123)", "cell": [[5.1693, 0.0000, 0.0000], [0.0000, 5.1693, 0.0000], [0.0000, 0.0000, 3.9382]], "species": ["Ag", "Se", "Se", "N", "Be"], "frac_coords": [[0.0000, 0.0000, 0.0000], [0.0000, 0.5000, 0.0000], [0.5000, 0.0000, 0.0000], [0.0000, 0.0000, 0.5000], [0.5000, 0.5000, 0.5000]]}

***

{"formula": "Tb4Co2N", "functional": "PBE", "state": "relaxed", "formation_energy_uncorrected_ev_per_atom": -0.194, "space_group": "I4/mmm (139)", "cell": [[-0.9561, 4.5615, 0.5178], [-3.5637, -0.4040, -3.0210], [-6.6689, 0.5409, 4.1552]], "species": ["N", "Co", "Co", "Tb", "Tb", "Tb", "Tb"], "frac_coords": [[0.0000, 0.0000, 0.0000], [0.8721, 0.8721, 0.2558], [0.1279, 0.1279, 0.7442], [0.3072, 0.3072, 0.3856], [0.0000, 0.5000, 0.0000], [0.5000, 0.0000, 0.0000], [0.6928, 0.6928, 0.6144]]}

***

{"formula": "Hg6Sb2Pb5", "functional": "PBE", "state": "relaxed", "formation_energy_uncorrected_ev_per_atom": 0.075, "space_group": "Pbam (55)", "cell": [[4.4175, -0.0001, 0.0000], [-0.0002, 14.5188, 0.0000], [0.0000, 0.0000, 12.4498]], "species": ["Hg", "Hg", "Hg", "Hg", "Hg", "Hg", "Hg", "Hg", "Hg", "Hg", "Hg", "Hg", "Pb", "Pb", "Pb", "Pb", "Pb", "Pb", "Pb", "Pb", "Pb", "Pb", "Sb", "Sb", "Sb", "Sb"], "frac_coords": [[0.5000, 0.1825, 0.6448], [0.0000, 0.1577, 0.4790], [0.0000, 0.6577, 0.0210], [0.5000, 0.6825, 0.8552], [0.5000, 0.8175, 0.3552], [0.0000, 0.5189, 0.3533], [0.0000, 0.0189, 0.1467], [0.0000, 0.3423, 0.9790], [0.0000, 0.9811, 0.8533], [0.5000, 0.3175, 0.1448], [0.0000, 0.8423, 0.5210], [0.0000, 0.4811, 0.6467], [0.5000, 0.8710, 0.7256], [0.5000, 0.1290, 0.2744], [0.5000, 0.3749, 0.4890], [0.5000, 0.5000, 0.0000], [0.5000, 0.3710, 0.7744], [0.5000, 0.0000, 0.5000], [0.5000, 0.8749, 0.0110], [0.5000, 0.1251, 0.9890], [0.5000, 0.6290, 0.2256], [0.5000, 0.6251, 0.5110], [0.0000, 0.6891, 0.6827], [0.0000, 0.1891, 0.8173], [0.0000, 0.3109, 0.3173], [0.0000, 0.8109, 0.1827]]}

***

{"formula": "La2NpTl3Se6", "functional": "PBE", "state": "relaxed", "formation_energy_uncorrected_ev_per_atom": -1.263, "space_group": "C2/m (12)", "cell": [[-4.3966, -6.0895, 0.9558], [5.9257, -0.3118, -4.7026], [3.9736, -0.1917, 7.0530]], "species": ["Se", "Se", "Se", "Se", "Se", "Se", "La", "La", "Tl", "Tl", "Tl", "Np"], "frac_coords": [[0.9304, 0.6058, 0.7912], [0.7458, 0.7458, 0.2108], [0.0696, 0.3942, 0.2088], [0.6058, 0.9304, 0.7912], [0.2542, 0.2542, 0.7892], [0.3942, 0.0696, 0.2088], [0.3333, 0.6667, 0.0000], [0.6667, 0.3333, 0.0000], [0.8327, 0.1673, 0.5000], [0.5000, 0.5000, 0.5000], [0.1673, 0.8327, 0.5000], [0.0000, 0.0000, 0.0000]]}

***

{"formula": "SrMgNi2", "functional": "PBE", "state": "relaxed", "formation_enthalpy_0k_ev_per_atom": 0.164, "space_group": "Cm (8)", "cell": [[5.3262, 0.0114, 0.0098], [4.3960, 3.0074, 0.0098], [1.4141, 0.4391, 4.8434]], "species": ["Ni", "Ni", "Mg", "Sr"], "frac_coords": [[0.0260, 0.0260, 0.0171], [0.7055, 0.7055, 0.7927], [0.2837, 0.2837, 0.1555], [0.4848, 0.4848, 0.5347]]}

***

{"formula": "BeMoPIr", "functional": "PBE", "state": "relaxed", "formation_enthalpy_0k_ev_per_atom": -0.318, "space_group": "Pm (6)", "cell": [[3.9439, 0.0000, -0.0035], [0.0000, 2.8542, 0.0000], [-1.3096, 0.0000, 4.5114]], "species": ["Mo", "P", "Ir", "Be"], "frac_coords": [[0.1232, 0.0000, 0.4328], [0.5843, 0.5000, 0.3326], [0.7212, 0.5000, 0.8710], [0.2596, 0.0000, 0.9641]]}

***

{"formula": "Sc2AlFeAu", "functional": "PBE", "state": "relaxed", "formation_enthalpy_0k_ev_per_atom": 0.443, "space_group": "P4/mmm (123)", "cell": [[5.0983, 0.0000, 0.0000], [0.0000, 4.7696, 0.0000], [0.0000, 0.0000, 5.0983]], "species": ["Au", "Sc", "Sc", "Fe", "Al"], "frac_coords": [[0.0000, 0.0000, 0.0000], [0.0000, 0.0000, 0.5000], [0.5000, 0.0000, 0.0000], [0.0000, 0.5000, 0.0000], [0.5000, 0.5000, 0.5000]]}

***

{"formula": "Zn2RhBr", "functional": "PBE", "state": "relaxed", "formation_energy_uncorrected_ev_per_atom": 0.079, "space_group": "Cmmm (65)", "cell": [[-3.7836, -3.8485, 3.5228], [4.1180, -1.4764, -1.6450], [0.8838, -0.8084, 2.9470]], "species": ["Zn", "Zn", "Rh", "Br"], "frac_coords": [[0.5000, 0.0000, 0.5000], [0.0000, 0.0000, 0.0000], [0.5000, 0.5000, 0.0000], [0.0000, 0.5000, 0.5000]]}

***

{"formula": "Cd2SiMo", "functional": "PBE", "state": "relaxed", "formation_energy_uncorrected_ev_per_atom": 0.380, "space_group": "P2/m (10)", "cell": [[-0.0563, 2.2961, -4.8491], [-2.7403, -0.4160, -0.1652], [-0.8617, 4.2848, 2.0389]], "species": ["Cd", "Cd", "Mo", "Si"], "frac_coords": [[0.0000, 0.9819, 0.0006], [0.0000, 0.5181, 0.4994], [0.5000, 0.2500, 0.2500], [0.5000, 0.7500, 0.7500]]}

***

{"formula": "TbDy4Zn5", "functional": "PBE", "state": "relaxed", "formation_enthalpy_0k_ev_per_atom": -0.339, "space_group": "P4/mmm (123)", "cell": [[3.5730, 0.0000, 0.0000], [0.0000, 3.5730, 0.0000], [0.0000, 0.0000, 17.8318]], "species": ["Dy", "Dy", "Dy", "Dy", "Zn", "Zn", "Zn", "Zn", "Zn", "Tb"], "frac_coords": [[0.0000, 0.0000, 0.5997], [0.0000, 0.0000, 0.7994], [0.0000, 0.0000, 0.4003], [0.0000, 0.0000, 0.2006], [0.5000, 0.5000, 0.3006], [0.5000, 0.5000, 0.6994], [0.5000, 0.5000, 0.1011], [0.5000, 0.5000, 0.5000], [0.5000, 0.5000, 0.8989], [0.0000, 0.0000, 0.0000]]}

***

{"formula": "SmTlCd", "functional": "PBE", "state": "relaxed", "formation_enthalpy_0k_ev_per_atom": -0.310, "space_group": "P6_3/mmc (194)", "cell": [[5.0044, 0.0000, 0.0000], [-2.5022, 4.3339, 0.0000], [0.0000, 0.0000, 7.3737]], "species": ["Tl", "Tl", "Sm", "Sm", "Cd", "Cd"], "frac_coords": [[0.6667, 0.3333, 0.2500], [0.3333, 0.6667, 0.7500], [0.0000, 0.0000, 0.5000], [0.0000, 0.0000, 0.0000], [0.6667, 0.3333, 0.7500], [0.3333, 0.6667, 0.2500]]}

***

{"formula": "Na2DySnSe4", "functional": "PBE", "state": "relaxed", "formation_energy_uncorrected_ev_per_atom": -1.188, "space_group": "P2/m (10)", "cell": [[4.1089, 0.0000, 0.0000], [0.0000, 7.2220, 0.1412], [0.0000, -2.5082, 6.9794]], "species": ["Se", "Se", "Se", "Se", "Na", "Na", "Sn", "Dy"], "frac_coords": [[0.5000, 0.7565, 0.7719], [0.5000, 0.2435, 0.2281], [0.0000, 0.2550, 0.7701], [0.0000, 0.7450, 0.2299], [0.0000, 0.5000, 0.5000], [0.5000, 0.0000, 0.5000], [0.5000, 0.5000, 0.0000], [0.0000, 0.0000, 0.0000]]}

***

{"formula": "Sc2Cu2Sb", "functional": "PBE", "state": "relaxed", "formation_energy_uncorrected_ev_per_atom": -0.162, "space_group": "P4/mbm (127)", "cell": [[-3.6523, 4.0780, -5.3626], [-6.6284, -1.0837, 3.6902], [0.5334, 2.8306, 1.7893]], "species": ["Sb", "Sb", "Cu", "Cu", "Cu", "Cu", "Sc", "Sc", "Sc", "Sc"], "frac_coords": [[0.0000, 0.0000, 0.0000], [0.5000, 0.5000, 0.0000], [0.1230, 0.6230, 0.5000], [0.8770, 0.3770, 0.5000], [0.3770, 0.1230, 0.5000], [0.6230, 0.8770, 0.5000], [0.8383, 0.6617, 0.0000], [0.1617, 0.3383, 0.0000], [0.6617, 0.1617, 0.0000], [0.3383, 0.8383, 0.0000]]}

***

{"formula": "Er2Zn5Cu3", "functional": "PBE", "state": "relaxed", "formation_enthalpy_0k_ev_per_atom": -0.251, "space_group": "Cmc2_1 (36)", "cell": [[-3.0784, 2.8426, 0.9906], [-3.1719, -4.6613, 3.5192], [7.5579, 1.7448, 9.1230]], "species": ["Zn", "Zn", "Zn", "Zn", "Zn", "Zn", "Zn", "Zn", "Zn", "Zn", "Cu", "Cu", "Cu", "Cu", "Cu", "Cu", "Er", "Er", "Er", "Er"], "frac_coords": [[0.7019, 0.3855, 0.4039], [0.8744, 0.7628, 0.7488], [0.3939, 0.4427, 0.7878], [0.1256, 0.2628, 0.2512], [0.7131, 0.0010, 0.4262], [0.6061, 0.9427, 0.2122], [0.0520, 0.5750, 0.1040], [0.2981, 0.8855, 0.5961], [0.9480, 0.0750, 0.8960], [0.2869, 0.5010, 0.5738], [0.0529, 0.9738, 0.1058], [0.9471, 0.4738, 0.8942], [0.2311, 0.1865, 0.4621], [0.7689, 0.6865, 0.5379], [0.6068, 0.5511, 0.2136], [0.3932, 0.0511, 0.7864], [0.4826, 0.7702, 0.9652], [0.1751, 0.7162, 0.3502], [0.8249, 0.2162, 0.6498], [0.5174, 0.2702, 0.0348]]}